(1)
LaRe2Hg, relaxed, DFT PBE-GGA; relative energy among the computed polymorphs = 812.3 meV/atom; energy of formation = 22.8 kcal/mol of atoms; DFT total energy = -0.240 hartree per atom
1.0
4.210 0.000 0.000
0.000 4.210 0.000
0.000 0.000 9.238
La Re Hg
2 4 2
direct
0.000 0.000 0.000
0.500 0.500 0.500
0.000 0.500 0.250
0.000 0.500 0.750
0.500 0.000 0.250
0.500 0.000 0.750
0.000 0.000 0.500
0.500 0.500 0.000

***

(2)
Pu2BeSi, relaxed, DFT PBE-GGA; relative energy among the computed polymorphs = 0.0 meV/atom; raw formation energy = 0.019 eV/atom; DFT total energy = -0.347 hartree per atom
1.0
6.824 0.000 0.000
0.000 6.824 0.000
0.000 0.000 6.824
Pu Be Si
8 4 4
direct
0.250 0.250 0.250
0.250 0.250 0.750
0.250 0.750 0.250
0.250 0.750 0.750
0.750 0.250 0.250
0.750 0.250 0.750
0.750 0.750 0.250
0.750 0.750 0.750
0.000 0.000 0.000
0.000 0.500 0.500
0.500 0.000 0.500
0.500 0.500 0.000
0.000 0.000 0.500
0.000 0.500 0.000
0.500 0.000 0.000
0.500 0.500 0.500

***

(3)
CrCu2As, relaxed, DFT PBE-GGA; energy of formation = 5.2 kcal/mol of atoms; DFT total energy = -0.198 hartree per atom
1.0
5.015 0.000 0.000
0.000 9.454 0.000
-1.479 0.000 2.313
Cr Cu As
2 4 2
direct
0.000 0.000 0.000
0.500 0.500 0.000
0.250 0.250 0.500
0.250 0.750 0.500
0.750 0.250 0.500
0.750 0.750 0.500
0.000 0.500 0.000
0.500 0.000 0.000

***

(4)
CeNdNiAu, relaxed, DFT PBE-GGA; energy of formation = -9.0 kcal/mol of atoms; DFT total energy = -0.196 hartree per atom
1.0
7.215 0.000 0.000
0.000 7.215 0.000
0.000 0.000 7.215
Ce Nd Ni Au
4 4 4 4
direct
0.000 0.000 0.000
0.000 0.500 0.500
0.500 0.000 0.500
0.500 0.500 0.000
0.000 0.000 0.500
0.000 0.500 0.000
0.500 0.000 0.000
0.500 0.500 0.500
0.250 0.250 0.250
0.250 0.750 0.750
0.750 0.250 0.750
0.750 0.750 0.250
0.250 0.250 0.750
0.250 0.750 0.250
0.750 0.250 0.250
0.750 0.750 0.750

***

(5)
Li2CaFe, relaxed, DFT PBE-GGA; relative energy among the computed polymorphs = 100.2 meV/atom; energy of formation = 10.4 kcal/mol of atoms; DFT total energy = -0.115 hartree per atom
1.0
6.967 0.000 0.000
0.000 6.967 0.000
0.000 0.000 6.967
Li Ca Fe
8 4 4
direct
0.000 0.000 0.000
0.000 0.500 0.500
0.250 0.250 0.250
0.250 0.750 0.750
0.500 0.000 0.500
0.500 0.500 0.000
0.750 0.250 0.750
0.750 0.750 0.250
0.250 0.250 0.750
0.250 0.750 0.250
0.750 0.250 0.250
0.750 0.750 0.750
0.000 0.000 0.500
0.000 0.500 0.000
0.500 0.000 0.000
0.500 0.500 0.500

***

(6)
ScMo2Cl, relaxed, DFT PBE-GGA; relative energy among the computed polymorphs = 710.4 meV/atom; raw formation energy = 0.482 eV/atom; DFT total energy = -0.256 hartree per atom
1.0
2.825 0.000 0.000
0.000 2.825 0.000
0.000 0.000 8.768
Sc Mo Cl
1 2 1
direct
0.000 0.000 0.000
0.500 0.500 0.263
0.500 0.500 0.737
0.000 0.000 0.500